1.
## TaAlMo2 (GGA-PBE)

Data for a geometry-optimized TaAlMo2 structure.

The structure belongs to space group P4/mmm (No. 123); the cell edges are 2.7244, 2.7244 and 8.8125 Å and the angles 90.00°, 90.00° and 90.00°. The inequivalent atoms are Ta at (0.0000, 0.0000, 0.0000), Al at (0.0000, 0.0000, 0.5000) and Mo at (0.5000, 0.5000, 0.2672).

As for the formation energy: 0.026 eV/atom. Its crystal system is tetragonal. The value obtained for the total magnetization is 0.000 μB/atom. As for the total DFT energy (no corrections): -9.2885 eV/atom.



2.
## MnIrOs2 (GGA-PBE)

Data for a geometry-optimized MnIrOs2 structure.

The structure belongs to space group R3m (No. 160, hexagonal axes); the cell edges are 2.7195, 2.7195 and 26.0519 Å and the angles 90.00°, 90.00° and 120.00°. The inequivalent atoms are Mn at (0.0000, 0.0000, 0.0000), Ir at (0.0000, 0.0000, 0.7472), Os at (0.0000, 0.0000, 0.2517) and Os at (0.0000, 0.0000, 0.5007).

The value obtained for the excess energy over the best structure of this formula in the dataset is 103 meV per atom. As for the formation energy: 0.100 eV/atom. Its crystal system is trigonal. The value obtained for the total magnetization is 0.429 μB/atom. As for the total DFT energy (no corrections): -10.0222 eV/atom.



3.
## TbPrTlAu (GGA-PBE)

Data for a geometry-optimized TbPrTlAu structure.

The structure belongs to space group P4mm (No. 99); the cell edges are 3.6934, 3.6934 and 7.9209 Å and the angles 90.00°, 90.00° and 90.00°. The inequivalent atoms are Tb at (0.0000, 0.0000, 0.0000), Pr at (0.0000, 0.0000, 0.4602), Tl at (0.5000, 0.5000, 0.7370) and Au at (0.5000, 0.5000, 0.1988).

The value obtained for the excess energy over the best structure of this formula in the dataset is 0 meV per atom. As for the formation energy: -0.594 eV/atom. Its crystal system is tetragonal. The value obtained for the total magnetization is 0.000 μB/atom. As for the total DFT energy (no corrections): -4.3577 eV/atom.



4.
## NdCuSb (GGA-PBE)

Data for a geometry-optimized NdCuSb structure.

The structure belongs to space group P-6m2 (No. 187); the cell edges are 4.4235, 4.4235 and 12.5937 Å and the angles 90.00°, 90.00° and 120.00°. The inequivalent atoms are Nd at (0.0000, 0.0000, 0.0000), Nd at (0.0000, 0.0000, 0.3319), Cu at (0.3333, 0.6667, 0.5000), Cu at (0.6667, 0.3333, 0.1297), Sb at (0.3333, 0.6667, 0.1738) and Sb at (0.6667, 0.3333, 0.5000).

The value obtained for the uncorrected formation energy is -751 meV per atom. Its crystal system is hexagonal. The value obtained for the total magnetization is 0.000 μB/atom. As for the total DFT energy (no corrections): -5.0797 eV/atom.



5.
## Re3SbAs (GGA-PBE)

Data for a geometry-optimized Re3SbAs structure.

The structure belongs to space group Pm-3m (No. 221); the cell edges are 4.8581, 4.8581 and 4.8581 Å and the angles 90.00°, 90.00° and 90.00°. The inequivalent atoms are Re at (0.0000, 0.0000, 0.5000), Sb at (0.0000, 0.0000, 0.0000) and As at (0.5000, 0.5000, 0.5000).

The value obtained for the excess energy over the best structure of this formula in the dataset is 1082 meV per atom. The value obtained for the uncorrected formation energy is 2691 meV per atom. Its crystal system is cubic. The value obtained for the total magnetization is 0.376 μB/atom. As for the total DFT energy (no corrections): -6.5324 eV/atom.



6.
## Ca3Zr3NbN8 (GGA-PBE)

Data for a geometry-optimized Ca3Zr3NbN8 structure.

The structure belongs to space group R-3m (No. 166, hexagonal axes); the cell edges are 6.5547, 6.5547 and 16.9736 Å and the angles 90.00°, 90.00° and 120.00°. The inequivalent atoms are Ca at (0.0000, 0.5000, 0.0000), Zr at (0.0000, 0.5000, 0.5000), Nb at (0.0000, 0.0000, 0.5000), N at (0.0000, 0.0000, 0.2389) and N at (0.0161, 0.5080, 0.2343).

The value obtained for the uncorrected formation energy is -1231 meV per atom. Its crystal system is trigonal. The value obtained for the total magnetization is 0.000 μB/atom. As for the total DFT energy (no corrections): -8.4523 eV/atom.



Record-wise density of states at the Fermi level values, in states/eV/cell: 1.4, 13.7, 2.7, 4.1, 6.2, 19.0
Record-wise calculated volume values, in Å³ per cell: 65.4, 166.9, 108.1, 213.4, 114.7, 631.6